This record from the Alexandria database describes a relaxed AcCd3Rh crystal. The functional is PBE-GGA.

Cell: 7.647 5.659 6.027 Å, 90.00 90.00 68.38°
Positions (direct):
Ac 0.889 0.275 0.052
Ac 0.671 0.691 0.552
Cd 0.468 0.268 0.296
Cd 0.092 0.698 0.309
Cd 0.468 0.268 0.809
Cd 0.167 0.147 0.552
Cd 0.092 0.698 0.796
Cd 0.394 0.819 0.052
Rh 0.756 0.833 0.052
Rh 0.805 0.132 0.552

## Properties
Symmetry = P2_1/m, No. 11
ΔH_f (0 K) = -367 meV/atom
Total moment = 0.0 μB/f.u.
E above lowest polymorph = 0.000 eV/atom